Density functional theory data (PBE) for an optimized crystal structure of La2GdCl.

Lattice parameters (Å, degrees): 3.751 3.751 10.680 79.89 79.89 60.00
Last column: magnetic moment on the atom in μB.
Positions (direct):
Gd 0.500 0.500 0.500  7.27
La 0.740 0.740 0.780  0.00
Cl 0.000 0.000 0.000  0.01
La 0.260 0.260 0.220  0.00

Results
Crystal system   trigonal
Space group   No. 166
ΔE_f (raw)   -692 meV/atom

Density functional theory data (PBE) for an optimized crystal structure of CsSm2AgO4.

Lattice parameters (Å, degrees): 3.689 6.456 12.748 90.00 90.00 106.60
Positions (direct):
Sm 0.366 0.732 0.558
Cs 0.094 0.188 0.750
Cs 0.906 0.812 0.250
Sm 0.366 0.732 0.942
Sm 0.634 0.268 0.058
O 0.000 0.000 0.000
O 0.751 0.503 0.917
O 0.249 0.497 0.083
O 0.751 0.503 0.583
O 0.581 0.161 0.250
O 0.000 0.000 0.500
Sm 0.634 0.268 0.442
Ag 0.186 0.372 0.250
O 0.249 0.497 0.417
Ag 0.814 0.628 0.750
O 0.419 0.839 0.750

Results
Crystal system   orthorhombic
Space group   No. 63
ΔE_f (raw)   -2234 meV/atom

Density functional theory data (PBE) for an optimized crystal structure of LiAcAgHg.

Lattice parameters (Å, degrees): 5.325 5.325 5.325 60.00 60.00 60.00
Positions (direct):
Ag 0.500 0.500 0.500
Hg 0.000 0.000 0.000
Ac 0.750 0.750 0.750
Li 0.250 0.250 0.250

Results
Energy of formation from the pure elements   -0.2766 eV per atom
Crystal system   cubic
Space group   No. 216

Density functional theory data (PBE) for an optimized crystal structure of Na3Th2Te6Pd.

Lattice parameters (Å, degrees): 7.621 7.621 8.069 100.23 100.23 118.49
Last column: magnetic moment on the atom in μB.
Positions (direct):
Na 0.174 0.826 0.500  0.00
Te 0.384 0.076 0.220  0.03
Te 0.616 0.924 0.780  0.03
Na 0.826 0.174 0.500  0.00
Te 0.740 0.740 0.253  0.00
Pd 0.000 0.000 0.000  0.24
Te 0.924 0.616 0.780  0.03
Th 0.335 0.665 0.000  0.02
Th 0.665 0.335 0.000  0.02
Te 0.260 0.260 0.747  0.00
Te 0.076 0.384 0.220  0.03
Na 0.500 0.500 0.500  0.00

Results
Crystal system   monoclinic
Space group   No. 12
ΔE_f (raw)   -934 meV/atom